No. 1
Below is a relaxed Er2CoB4Ir4 crystal, with properties calculated at the GGA-PBE level.

Geometry as CIF:
```
data_Er2CoB4Ir4
_chemical_formula_sum 'Er8 Co4 B16 Ir16'
_symmetry_space_group_name_H-M 'F m m m'
_symmetry_Int_Tables_number 69
_symmetry_space_group_name_Hall '-F 2 2'
_cell_length_a 5.471
_cell_length_b 9.263
_cell_length_c 11.390
_cell_angle_alpha 90.00
_cell_angle_beta 90.00
_cell_angle_gamma 90.00
loop_
_atom_site_label
_atom_site_type_symbol
_atom_site_fract_x
_atom_site_fract_y
_atom_site_fract_z
Er1 Er 0.000 0.000 0.138
Co1 Co 0.000 0.000 0.500
B1 B 0.000 0.145 0.368
Ir1 Ir 0.250 0.250 0.000
Ir2 Ir 0.250 0.250 0.250
```

Electronic total energy, eV per atom: -7.8286
M_tot, Bohr magnetons per cell: 0.1
Crystal system: orthorhombic

No. 2
Below is a relaxed La2ErCo2B2N3 crystal, with properties calculated at the GGA-PBE level.

Geometry as CIF:
```
data_La2ErCo2B2N3
_chemical_formula_sum 'La4 Er2 Co4 B4 N6'
_symmetry_space_group_name_H-M 'I 4/m m m'
_symmetry_Int_Tables_number 139
_symmetry_space_group_name_Hall '-I 4 2'
_cell_length_a 3.652
_cell_length_b 3.652
_cell_length_c 19.624
_cell_angle_alpha 90.00
_cell_angle_beta 90.00
_cell_angle_gamma 90.00
loop_
_atom_site_label
_atom_site_type_symbol
_atom_site_fract_x
_atom_site_fract_y
_atom_site_fract_z
La1 La 0.000 0.000 0.128
Er1 Er 0.000 0.000 0.500
Co1 Co 0.000 0.500 0.250
B1 B 0.000 0.000 0.304
N1 N 0.000 0.000 0.000
N2 N 0.000 0.000 0.380
```

Electronic total energy, eV per atom: -7.7652
M_tot, Bohr magnetons per cell: 0.0
Crystal system: tetragonal

No. 3
Below is a relaxed LaEr2Co2B2N3 crystal, with properties calculated at the GGA-PBE level.

Geometry as CIF:
```
data_LaEr2Co2B2N3
_chemical_formula_sum 'La2 Er4 Co4 B4 N6'
_symmetry_space_group_name_H-M 'I 4/m m m'
_symmetry_Int_Tables_number 139
_symmetry_space_group_name_Hall '-I 4 2'
_cell_length_a 3.515
_cell_length_b 3.515
_cell_length_c 20.274
_cell_angle_alpha 90.00
_cell_angle_beta 90.00
_cell_angle_gamma 90.00
loop_
_atom_site_label
_atom_site_type_symbol
_atom_site_fract_x
_atom_site_fract_y
_atom_site_fract_z
La1 La 0.000 0.000 0.000
Er1 Er 0.000 0.000 0.371
Co1 Co 0.000 0.500 0.250
B1 B 0.000 0.000 0.196
N1 N 0.000 0.000 0.123
N2 N 0.000 0.000 0.500
```

Electronic total energy, eV per atom: -7.7760
M_tot, Bohr magnetons per cell: 0.0
Crystal system: tetragonal

No. 4
Below is a relaxed NdEr2Co2B2N3 crystal, with properties calculated at the GGA-PBE level.

Geometry as CIF:
```
data_NdEr2Co2B2N3
_chemical_formula_sum 'Nd2 Er4 Co4 B4 N6'
_symmetry_space_group_name_H-M 'I 4/m m m'
_symmetry_Int_Tables_number 139
_symmetry_space_group_name_Hall '-I 4 2'
_cell_length_a 3.491
_cell_length_b 3.491
_cell_length_c 20.075
_cell_angle_alpha 90.00
_cell_angle_beta 90.00
_cell_angle_gamma 90.00
loop_
_atom_site_label
_atom_site_type_symbol
_atom_site_fract_x
_atom_site_fract_y
_atom_site_fract_z
Nd1 Nd 0.000 0.000 0.000
Er1 Er 0.000 0.000 0.374
Co1 Co 0.000 0.500 0.250
B1 B 0.000 0.000 0.196
N1 N 0.000 0.000 0.121
N2 N 0.000 0.000 0.500
```

Electronic total energy, eV per atom: -7.7878
M_tot, Bohr magnetons per cell: 0.0
Crystal system: tetragonal

No. 5
Below is a relaxed Pr2ErCo2B2N3 crystal, with properties calculated at the GGA-PBE level.

Geometry as CIF:
```
data_Pr2ErCo2B2N3
_chemical_formula_sum 'Pr4 Er2 Co4 B4 N6'
_symmetry_space_group_name_H-M 'I 4/m m m'
_symmetry_Int_Tables_number 139
_symmetry_space_group_name_Hall '-I 4 2'
_cell_length_a 3.613
_cell_length_b 3.613
_cell_length_c 19.687
_cell_angle_alpha 90.00
_cell_angle_beta 90.00
_cell_angle_gamma 90.00
loop_
_atom_site_label
_atom_site_type_symbol
_atom_site_fract_x
_atom_site_fract_y
_atom_site_fract_z
Pr1 Pr 0.000 0.000 0.127
Er1 Er 0.000 0.000 0.500
Co1 Co 0.000 0.500 0.250
B1 B 0.000 0.000 0.304
N1 N 0.000 0.000 0.000
N2 N 0.000 0.000 0.381
```

Electronic total energy, eV per atom: -7.7256
M_tot, Bohr magnetons per cell: 0.0
Crystal system: tetragonal

No. 6
Below is a relaxed PrEr2Co2B2N3 crystal, with properties calculated at the GGA-PBE level.

Geometry as CIF:
```
data_PrEr2Co2B2N3
_chemical_formula_sum 'Pr2 Er4 Co4 B4 N6'
_symmetry_space_group_name_H-M 'I 4/m m m'
_symmetry_Int_Tables_number 139
_symmetry_space_group_name_Hall '-I 4 2'
_cell_length_a 3.506
_cell_length_b 3.506
_cell_length_c 20.147
_cell_angle_alpha 90.00
_cell_angle_beta 90.00
_cell_angle_gamma 90.00
loop_
_atom_site_label
_atom_site_type_symbol
_atom_site_fract_x
_atom_site_fract_y
_atom_site_fract_z
Pr1 Pr 0.000 0.000 0.000
Er1 Er 0.000 0.000 0.373
Co1 Co 0.000 0.500 0.250
B1 B 0.000 0.000 0.196
N1 N 0.000 0.000 0.122
N2 N 0.000 0.000 0.500
```

Electronic total energy, eV per atom: -7.7645
M_tot, Bohr magnetons per cell: 0.0
Crystal system: tetragonal

No. 7
Below is a relaxed Sm2ErCo2B2N3 crystal, with properties calculated at the GGA-PBE level.

Geometry as CIF:
```
data_Sm2ErCo2B2N3
_chemical_formula_sum 'Sm4 Er2 Co4 B4 N6'
_symmetry_space_group_name_H-M 'I 4/m m m'
_symmetry_Int_Tables_number 139
_symmetry_space_group_name_Hall '-I 4 2'
_cell_length_a 3.534
_cell_length_b 3.534
_cell_length_c 19.800
_cell_angle_alpha 90.00
_cell_angle_beta 90.00
_cell_angle_gamma 90.00
loop_
_atom_site_label
_atom_site_type_symbol
_atom_site_fract_x
_atom_site_fract_y
_atom_site_fract_z
Sm1 Sm 0.000 0.000 0.125
Er1 Er 0.000 0.000 0.500
Co1 Co 0.000 0.500 0.250
B1 B 0.000 0.000 0.305
N1 N 0.000 0.000 0.000
N2 N 0.000 0.000 0.382
```

Electronic total energy, eV per atom: -7.8063
M_tot, Bohr magnetons per cell: 0.0
Crystal system: tetragonal

No. 8
Below is a relaxed SmEr2Co2B2N3 crystal, with properties calculated at the GGA-PBE level.

Geometry as CIF:
```
data_SmEr2Co2B2N3
_chemical_formula_sum 'Sm2 Er4 Co4 B4 N6'
_symmetry_space_group_name_H-M 'I 4/m m m'
_symmetry_Int_Tables_number 139
_symmetry_space_group_name_Hall '-I 4 2'
_cell_length_a 3.474
_cell_length_b 3.474
_cell_length_c 19.984
_cell_angle_alpha 90.00
_cell_angle_beta 90.00
_cell_angle_gamma 90.00
loop_
_atom_site_label
_atom_site_type_symbol
_atom_site_fract_x
_atom_site_fract_y
_atom_site_fract_z
Sm1 Sm 0.000 0.000 0.000
Er1 Er 0.000 0.000 0.375
Co1 Co 0.000 0.500 0.250
B1 B 0.000 0.000 0.195
N1 N 0.000 0.000 0.120
N2 N 0.000 0.000 0.500
```

Electronic total energy, eV per atom: -7.8224
M_tot, Bohr magnetons per cell: 0.0
Crystal system: tetragonal

No. 9
Below is a relaxed TbErCo2B2N2 crystal, with properties calculated at the GGA-PBE level.

Geometry as CIF:
```
data_TbErCo2B2N2
_chemical_formula_sum 'Tb1 Er1 Co2 B2 N2'
_symmetry_space_group_name_H-M 'P 4 m m'
_symmetry_Int_Tables_number 99
_cell_length_a 3.473
_cell_length_b 3.473
_cell_length_c 7.437
_cell_angle_alpha 90.00
_cell_angle_beta 90.00
_cell_angle_gamma 90.00
loop_
_symmetry_equiv_pos_as_xyz
'x,y,z'
'-y,x,z'
'-x,-y,z'
'y,-x,z'
'-x,y,z'
'y,x,z'
'x,-y,z'
'-y,-x,z'
loop_
_atom_site_label
_atom_site_type_symbol
_atom_site_fract_x
_atom_site_fract_y
_atom_site_fract_z
Tb1 Tb 0.000 0.000 0.000
Er1 Er 0.500 0.500 0.664
Co1 Co 0.000 0.500 0.332
B1 B 0.000 0.000 0.481
B2 B 0.500 0.500 0.181
N1 N 0.000 0.000 0.684
N2 N 0.500 0.500 0.977
```

Electronic total energy, eV per atom: -7.7775
M_tot, Bohr magnetons per cell: 0.0
Crystal system: tetragonal

No. 10
Below is a relaxed TbEr2Co2B2N3 crystal, with properties calculated at the GGA-PBE level.

Geometry as CIF:
```
data_TbEr2Co2B2N3
_chemical_formula_sum 'Tb2 Er4 Co4 B4 N6'
_symmetry_space_group_name_H-M 'I 4/m m m'
_symmetry_Int_Tables_number 139
_symmetry_space_group_name_Hall '-I 4 2'
_cell_length_a 3.449
_cell_length_b 3.449
_cell_length_c 19.883
_cell_angle_alpha 90.00
_cell_angle_beta 90.00
_cell_angle_gamma 90.00
loop_
_atom_site_label
_atom_site_type_symbol
_atom_site_fract_x
_atom_site_fract_y
_atom_site_fract_z
Tb1 Tb 0.000 0.000 0.000
Er1 Er 0.000 0.000 0.376
Co1 Co 0.000 0.500 0.250
B1 B 0.000 0.000 0.194
N1 N 0.000 0.000 0.118
N2 N 0.000 0.000 0.500
```

Electronic total energy, eV per atom: -7.8620
M_tot, Bohr magnetons per cell: 0.0
Crystal system: tetragonal

No. 11
Below is a relaxed Tb2ErCo2B2N3 crystal, with properties calculated at the GGA-PBE level.

Geometry as CIF:
```
data_Tb2ErCo2B2N3
_chemical_formula_sum 'Tb4 Er2 Co4 B4 N6'
_symmetry_space_group_name_H-M 'I 4/m m m'
_symmetry_Int_Tables_number 139
_symmetry_space_group_name_Hall '-I 4 2'
_cell_length_a 3.468
_cell_length_b 3.468
_cell_length_c 19.829
_cell_angle_alpha 90.00
_cell_angle_beta 90.00
_cell_angle_gamma 90.00
loop_
_atom_site_label
_atom_site_type_symbol
_atom_site_fract_x
_atom_site_fract_y
_atom_site_fract_z
Tb1 Tb 0.000 0.000 0.124
Er1 Er 0.000 0.000 0.500
Co1 Co 0.000 0.500 0.250
B1 B 0.000 0.000 0.307
N1 N 0.000 0.000 0.000
N2 N 0.000 0.000 0.383
```

Electronic total energy, eV per atom: -7.8597
M_tot, Bohr magnetons per cell: 0.1
Crystal system: tetragonal

No. 12
Below is a relaxed Er2TmCo2B2N3 crystal, with properties calculated at the GGA-PBE level.

Geometry as CIF:
```
data_Er2TmCo2B2N3
_chemical_formula_sum 'Er4 Tm2 Co4 B4 N6'
_symmetry_space_group_name_H-M 'I 4/m m m'
_symmetry_Int_Tables_number 139
_symmetry_space_group_name_Hall '-I 4 2'
_cell_length_a 3.429
_cell_length_b 3.429
_cell_length_c 19.730
_cell_angle_alpha 90.00
_cell_angle_beta 90.00
_cell_angle_gamma 90.00
loop_
_atom_site_label
_atom_site_type_symbol
_atom_site_fract_x
_atom_site_fract_y
_atom_site_fract_z
Er1 Er 0.000 0.000 0.123
Tm1 Tm 0.000 0.000 0.500
Co1 Co 0.000 0.500 0.250
B1 B 0.000 0.000 0.307
N1 N 0.000 0.000 0.000
N2 N 0.000 0.000 0.384
```

Electronic total energy, eV per atom: -7.8803
M_tot, Bohr magnetons per cell: 0.0
Crystal system: tetragonal